(1)
# AlTc2Au PBE optimized geometry
# * formation energy from the elements: 1.606 kcal/mol of atoms
data_AlTc2Au
_chemical_formula_sum 'Al1 Tc2 Au1'
_cell_length_a 3.794
_cell_length_b 3.794
_cell_length_c 4.242
_cell_angle_alpha 90.00
_cell_angle_beta 90.00
_cell_angle_gamma 90.00
_space_group_name_H-M_alt 'P 4/m m m'
_space_group_IT_number 123
_space_group_name_Hall '-P 4 2'
loop_
_atom_site_label
_atom_site_type_symbol
_atom_site_fract_x
_atom_site_fract_y
_atom_site_fract_z
_atom_site_occupancy
Al1 Al 0.000 0.000 0.000 1
Tc1 Tc 0.000 0.500 0.500 1
Au1 Au 0.500 0.500 0.000 1

(2)
# AlTc2Au PBE optimized geometry
# * formation energy from the elements: -4.014 kcal/mol of atoms
data_AlTc2Au
_chemical_formula_sum 'Al1 Tc2 Au1'
_cell_length_a 2.958
_cell_length_b 2.958
_cell_length_c 7.036
_cell_angle_alpha 90.00
_cell_angle_beta 90.00
_cell_angle_gamma 90.00
_space_group_name_H-M_alt 'P 4 m m'
_space_group_IT_number 99
loop_
_space_group_symop_operation_xyz
'x,y,z'
'-y,x,z'
'-x,-y,z'
'y,-x,z'
'-x,y,z'
'y,x,z'
'x,-y,z'
'-y,-x,z'
loop_
_atom_site_label
_atom_site_type_symbol
_atom_site_fract_x
_atom_site_fract_y
_atom_site_fract_z
_atom_site_occupancy
Al1 Al 0.000 0.000 0.000 1
Tc1 Tc 0.000 0.000 0.548 1
Tc2 Tc 0.500 0.500 0.764 1
Au1 Au 0.500 0.500 0.247 1

(3)
# Al2TcAu PBE optimized geometry
# * formation energy from the elements: 2.315 kcal/mol of atoms
data_Al2TcAu
_chemical_formula_sum 'Al8 Tc4 Au4'
_cell_length_a 6.858
_cell_length_b 6.858
_cell_length_c 5.722
_cell_angle_alpha 90.00
_cell_angle_beta 90.00
_cell_angle_gamma 90.00
_space_group_name_H-M_alt 'I -4 2 d'
_space_group_IT_number 122
_space_group_name_Hall 'I -4 2bw'
loop_
_atom_site_label
_atom_site_type_symbol
_atom_site_fract_x
_atom_site_fract_y
_atom_site_fract_z
_atom_site_occupancy
Al1 Al 0.246 0.250 0.125 1
Tc1 Tc 0.000 0.000 0.500 1
Au1 Au 0.000 0.000 0.000 1

(4)
# AlTc2Au PBE optimized geometry
# * formation energy from the elements: 3.158 kcal/mol of atoms
data_AlTc2Au
_chemical_formula_sum 'Al1 Tc2 Au1'
_cell_length_a 2.719
_cell_length_b 2.719
_cell_length_c 8.272
_cell_angle_alpha 90.00
_cell_angle_beta 90.00
_cell_angle_gamma 90.00
_space_group_name_H-M_alt 'P 4/m m m'
_space_group_IT_number 123
_space_group_name_Hall '-P 4 2'
loop_
_atom_site_label
_atom_site_type_symbol
_atom_site_fract_x
_atom_site_fract_y
_atom_site_fract_z
_atom_site_occupancy
Al1 Al 0.000 0.000 0.000 1
Tc1 Tc 0.500 0.500 0.235 1
Au1 Au 0.000 0.000 0.500 1

(5)
# AlTcAu4 PBE optimized geometry
# * formation energy from the elements: 11.122 kcal/mol of atoms
data_AlTcAu4
_chemical_formula_sum 'Al4 Tc4 Au16'
_cell_length_a 7.725
_cell_length_b 7.725
_cell_length_c 7.725
_cell_angle_alpha 90.00
_cell_angle_beta 90.00
_cell_angle_gamma 90.00
_space_group_name_H-M_alt 'F -4 3 m'
_space_group_IT_number 216
_space_group_name_Hall 'F -4 2 3'
loop_
_atom_site_label
_atom_site_type_symbol
_atom_site_fract_x
_atom_site_fract_y
_atom_site_fract_z
_atom_site_occupancy
Al1 Al 0.000 0.000 0.000 1
Tc1 Tc 0.250 0.250 0.250 1
Au1 Au 0.125 0.125 0.625 1

(6)
# Al4Tc2Au PBE optimized geometry
# * formation energy from the elements: -7.049 kcal/mol of atoms
data_Al4Tc2Au
_chemical_formula_sum 'Al8 Tc4 Au2'
_cell_length_a 5.986
_cell_length_b 5.986
_cell_length_c 6.283
_cell_angle_alpha 90.00
_cell_angle_beta 90.00
_cell_angle_gamma 90.00
_space_group_name_H-M_alt 'I 4/m m m'
_space_group_IT_number 139
_space_group_name_Hall '-I 4 2'
loop_
_atom_site_label
_atom_site_type_symbol
_atom_site_fract_x
_atom_site_fract_y
_atom_site_fract_z
_atom_site_occupancy
Al1 Al 0.250 0.250 0.250 1
Tc1 Tc 0.000 0.500 0.000 1
Au1 Au 0.000 0.000 0.000 1

(7)
# Al2TcAu PBE optimized geometry
# * formation energy from the elements: -10.201 kcal/mol of atoms
data_Al2TcAu
_chemical_formula_sum 'Al2 Tc1 Au1'
_cell_length_a 4.238
_cell_length_b 4.238
_cell_length_c 3.305
_cell_angle_alpha 90.00
_cell_angle_beta 90.00
_cell_angle_gamma 90.00
_space_group_name_H-M_alt 'P 4/m m m'
_space_group_IT_number 123
_space_group_name_Hall '-P 4 2'
loop_
_atom_site_label
_atom_site_type_symbol
_atom_site_fract_x
_atom_site_fract_y
_atom_site_fract_z
_atom_site_occupancy
Al1 Al 0.000 0.500 0.000 1
Tc1 Tc 0.000 0.000 0.500 1
Au1 Au 0.500 0.500 0.500 1

(8)
# Al2TcAu PBE optimized geometry
# * formation energy from the elements: -4.892 kcal/mol of atoms
data_Al2TcAu
_chemical_formula_sum 'Al2 Tc1 Au1'
_cell_length_a 3.346
_cell_length_b 3.346
_cell_length_c 5.583
_cell_angle_alpha 90.00
_cell_angle_beta 90.00
_cell_angle_gamma 90.00
_space_group_name_H-M_alt 'P 4 m m'
_space_group_IT_number 99
loop_
_space_group_symop_operation_xyz
'x,y,z'
'-y,x,z'
'-x,-y,z'
'y,-x,z'
'-x,y,z'
'y,x,z'
'x,-y,z'
'-y,-x,z'
loop_
_atom_site_label
_atom_site_type_symbol
_atom_site_fract_x
_atom_site_fract_y
_atom_site_fract_z
_atom_site_occupancy
Al1 Al 0.000 0.000 0.000 1
Al2 Al 0.500 0.500 0.283 1
Tc1 Tc 0.500 0.500 0.819 1
Au1 Au 0.000 0.000 0.502 1

(9)
# Ti2AlTcAu PBE optimized geometry
# * formation energy from the elements: 14.150 kcal/mol of atoms
data_Ti2AlTcAu
_chemical_formula_sum 'Ti2 Al1 Tc1 Au1'
_cell_length_a 4.565
_cell_length_b 4.565
_cell_length_c 5.169
_cell_angle_alpha 90.00
_cell_angle_beta 90.00
_cell_angle_gamma 90.00
_space_group_name_H-M_alt 'P 4/m m m'
_space_group_IT_number 123
_space_group_name_Hall '-P 4 2'
loop_
_atom_site_label
_atom_site_type_symbol
_atom_site_fract_x
_atom_site_fract_y
_atom_site_fract_z
_atom_site_occupancy
Ti1 Ti 0.000 0.500 0.000 1
Al1 Al 0.000 0.000 0.500 1
Tc1 Tc 0.500 0.500 0.000 1
Au1 Au 0.500 0.500 0.500 1

(10)
# AlTlTc2Au PBE optimized geometry
# * formation energy from the elements: 23.553 kcal/mol of atoms
data_AlTlTc2Au
_chemical_formula_sum 'Al1 Tl1 Tc2 Au1'
_cell_length_a 4.663
_cell_length_b 4.663
_cell_length_c 4.670
_cell_angle_alpha 90.00
_cell_angle_beta 90.00
_cell_angle_gamma 90.00
_space_group_name_H-M_alt 'P 4/m m m'
_space_group_IT_number 123
_space_group_name_Hall '-P 4 2'
loop_
_atom_site_label
_atom_site_type_symbol
_atom_site_fract_x
_atom_site_fract_y
_atom_site_fract_z
_atom_site_occupancy
Al1 Al 0.000 0.000 0.000 1
Tl1 Tl 0.500 0.500 0.500 1
Tc1 Tc 0.000 0.500 0.000 1
Au1 Au 0.000 0.000 0.500 1

(11)
# AlTe2Au PBE optimized geometry
# * formation energy (no corrections): -132 meV/atom
data_AlTe2Au
_chemical_formula_sum 'Al2 Te4 Au2'
_cell_length_a 7.264
_cell_length_b 4.144
_cell_length_c 7.034
_cell_angle_alpha 90.00
_cell_angle_beta 109.16
_cell_angle_gamma 90.00
_space_group_name_H-M_alt 'C 1 m 1'
_space_group_IT_number 8
loop_
_space_group_symop_operation_xyz
'x,y,z'
'x,-y,z'
'x+1/2,y+1/2,z'
'x+1/2,-y+1/2,z'
loop_
_atom_site_label
_atom_site_type_symbol
_atom_site_fract_x
_atom_site_fract_y
_atom_site_fract_z
_atom_site_occupancy
Al1 Al 0.000 0.000 0.000 1
Te1 Te 0.036 0.500 0.597 1
Te2 Te 0.241 0.500 0.232 1
Au1 Au 0.273 0.000 0.811 1

(12)
# AlTeAu2 PBE optimized geometry
# * energy relative to the lowest polymorph listed for this composition: 2.66 kcal/mol of atoms
# * formation energy (no corrections): -46 meV/atom
data_AlTeAu2
_chemical_formula_sum 'Al1 Te1 Au2'
_cell_length_a 3.044
_cell_length_b 3.044
_cell_length_c 9.337
_cell_angle_alpha 90.00
_cell_angle_beta 90.00
_cell_angle_gamma 90.00
_space_group_name_H-M_alt 'P 4/m m m'
_space_group_IT_number 123
_space_group_name_Hall '-P 4 2'
loop_
_atom_site_label
_atom_site_type_symbol
_atom_site_fract_x
_atom_site_fract_y
_atom_site_fract_z
_atom_site_occupancy
Al1 Al 0.000 0.000 0.000 1
Te1 Te 0.000 0.000 0.500 1
Au1 Au 0.500 0.500 0.175 1

(13)
# AlTeAu PBE optimized geometry
# * energy relative to the lowest polymorph listed for this composition: 2.31 kcal/mol of atoms
# * formation energy (no corrections): -230 meV/atom
data_AlTeAu
_chemical_formula_sum 'Al2 Te2 Au2'
_cell_length_a 3.863
_cell_length_b 6.335
_cell_length_c 6.395
_cell_angle_alpha 114.47
_cell_angle_beta 107.55
_cell_angle_gamma 90.19
_space_group_name_H-M_alt 'P -1'
_space_group_IT_number 2
loop_
_space_group_symop_operation_xyz
'x,y,z'
'-x,-y,-z'
loop_
_atom_site_label
_atom_site_type_symbol
_atom_site_fract_x
_atom_site_fract_y
_atom_site_fract_z
_atom_site_occupancy
Al1 Al 0.244 0.296 0.489 1
Te1 Te 0.105 0.811 0.209 1
Au1 Au 0.405 0.723 0.810 1

(14)
# AlTe2Au PBE optimized geometry
# * formation energy (no corrections): 103 meV/atom
data_AlTe2Au
_chemical_formula_sum 'Al1 Te2 Au1'
_cell_length_a 3.912
_cell_length_b 3.978
_cell_length_c 7.521
_cell_angle_alpha 90.00
_cell_angle_beta 90.00
_cell_angle_gamma 90.00
_space_group_name_H-M_alt 'P m m m'
_space_group_IT_number 47
loop_
_space_group_symop_operation_xyz
'x,y,z'
'-x,-y,-z'
'-x,-y,z'
'x,y,-z'
'x,-y,-z'
'-x,y,z'
'-x,y,-z'
'x,-y,z'
loop_
_atom_site_label
_atom_site_type_symbol
_atom_site_fract_x
_atom_site_fract_y
_atom_site_fract_z
_atom_site_occupancy
Al1 Al 0.000 0.000 0.000 1
Te1 Te 0.500 0.000 0.500 1
Te2 Te 0.500 0.500 0.000 1
Au1 Au 0.000 0.500 0.500 1

Total energy (computed, eV/atom): -6.87 -7.11 -5.18 -6.80 -4.05 -5.87 -5.72 -5.49 -6.02 -5.00 -3.46 -3.41 -3.62 -3.22